(1)
# Zn3Au4 (PBE, optimized geometry)
# polymorph energy (0 for the lowest one) = 0.00 eV/f.u.
# DFT formation energy = -0.1852 eV/atom
# total magnetization = 0.00 μB/atom
data_Zn3Au4
_chemical_formula_sum 'Zn18 Au24'
_cell_length_a 12.0542
_cell_length_b 12.0542
_cell_length_c 5.5311
_cell_angle_alpha 90.00
_cell_angle_beta 90.00
_cell_angle_gamma 120.00
_space_group_name_H-M_alt 'R -3'
_space_group_IT_number 148
_space_group_name_Hall '-R 3'
loop_
_atom_site_label
_atom_site_fract_x
_atom_site_fract_y
_atom_site_fract_z
Zn1 0.0498 0.2313 0.1910
Au1 0.0000 0.0000 0.0000
Au2 0.0000 0.0000 0.5000
Au3 0.0508 0.2524 0.6855

---

(2)
# Cr2CdW (PBE, optimized geometry)
# DFT formation energy = 0.4913 eV/atom
# total magnetization = 0.00 μB/atom
data_Cr2CdW
_chemical_formula_sum 'Cr6 Cd3 W3'
_cell_length_a 2.8106
_cell_length_b 2.8106
_cell_length_c 26.6709
_cell_angle_alpha 90.00
_cell_angle_beta 90.00
_cell_angle_gamma 120.00
_space_group_name_H-M_alt 'R 3 m'
_space_group_IT_number 160
_space_group_name_Hall 'R 3 -2"'
loop_
_atom_site_label
_atom_site_fract_x
_atom_site_fract_y
_atom_site_fract_z
Cr1 0.0000 0.0000 0.0000
Cr2 0.0000 0.0000 0.2723
Cd1 0.0000 0.0000 0.7586
W1 0.0000 0.0000 0.5223

---

(3)
# HfReB2F (PBE, optimized geometry)
# raw formation energy = 1.002 eV/atom
# total magnetization = 0.00 μB/atom
data_HfReB2F
_chemical_formula_sum 'Hf1 Re1 B2 F1'
_cell_length_a 4.076
_cell_length_b 4.076
_cell_length_c 3.844
_cell_angle_alpha 90.00
_cell_angle_beta 90.00
_cell_angle_gamma 90.00
_space_group_name_H-M_alt 'P 4/m m m'
_space_group_IT_number 123
_space_group_name_Hall '-P 4 2'
loop_
_atom_site_label
_atom_site_fract_x
_atom_site_fract_y
_atom_site_fract_z
Hf1 0.000 0.000 0.000
Re1 0.500 0.500 0.000
B1 0.000 0.500 0.500
F1 0.500 0.500 0.500

---

(4)
# Li2Ga12Pd (PBE, optimized geometry)
# DFT formation energy = -0.1662 eV/atom
# total magnetization = 0.00 μB/atom
data_Li2Ga12Pd
_chemical_formula_sum 'Li4 Ga24 Pd2'
_cell_length_a 5.846
_cell_length_b 5.846
_cell_length_c 16.689
_cell_angle_alpha 90.00
_cell_angle_beta 90.00
_cell_angle_gamma 90.00
_space_group_name_H-M_alt 'P 4/n b m'
_space_group_IT_number 125
loop_
_space_group_symop_operation_xyz
'x,y,z'
'-x,-y,-z'
'-y+1/2,x,z'
'y+1/2,-x,-z'
'-x+1/2,-y+1/2,z'
'x+1/2,y+1/2,-z'
'y,-x+1/2,z'
'-y,x+1/2,-z'
'x,-y+1/2,-z'
'-x,y+1/2,z'
'-y+1/2,-x+1/2,-z'
'y+1/2,x+1/2,z'
'-x+1/2,y,-z'
'x+1/2,-y,z'
'y,x,-z'
'-y,-x,z'
loop_
_atom_site_label
_atom_site_fract_x
_atom_site_fract_y
_atom_site_fract_z
Li1 0.250 0.750 0.232
Ga1 0.000 0.000 0.406
Ga2 0.067 0.567 0.069
Ga3 0.250 0.250 0.160
Ga4 0.250 0.250 0.306
Pd1 0.250 0.750 0.500

---

(5)
# LaY2Er (PBE, optimized geometry)
# polymorph energy (0 for the lowest one) = 0.00 eV/f.u.
# DFT formation energy = 0.0062 eV/atom
# total magnetization = 0.04 μB/atom
data_LaY2Er
_chemical_formula_sum 'La3 Y6 Er3'
_cell_length_a 3.6252
_cell_length_b 3.6252
_cell_length_c 34.7873
_cell_angle_alpha 90.00
_cell_angle_beta 90.00
_cell_angle_gamma 120.00
_space_group_name_H-M_alt 'R 3 m'
_space_group_IT_number 160
_space_group_name_Hall 'R 3 -2"'
loop_
_atom_site_label
_atom_site_fract_x
_atom_site_fract_y
_atom_site_fract_z
La1 0.0000 0.0000 0.0000
Y1 0.0000 0.0000 0.4186
Y2 0.0000 0.0000 0.5804
Er1 0.0000 0.0000 0.1658

---

(6)
# Sr2LaAu (PBE, optimized geometry)
# polymorph energy (0 for the lowest one) = 0.83 eV/f.u.
# DFT formation energy = -0.1440 eV/atom
# total magnetization = 0.13 μB/atom
data_Sr2LaAu
_chemical_formula_sum 'Sr8 La4 Au4'
_cell_length_a 10.270
_cell_length_b 10.270
_cell_length_c 6.279
_cell_angle_alpha 90.00
_cell_angle_beta 90.00
_cell_angle_gamma 90.00
_space_group_name_H-M_alt 'I -4 2 d'
_space_group_IT_number 122
_space_group_name_Hall 'I -4 2bw'
loop_
_atom_site_label
_atom_site_fract_x
_atom_site_fract_y
_atom_site_fract_z
Sr1 0.149 0.250 0.125
La1 0.000 0.000 0.500
Au1 0.000 0.000 0.000

---

(7)
# PtSBr2 (PBE, optimized geometry)
# raw formation energy = 0.613 eV/atom
# total magnetization = 0.00 μB/atom
data_PtSBr2
_chemical_formula_sum 'Pt3 S3 Br6'
_cell_length_a 3.0051
_cell_length_b 3.0051
_cell_length_c 34.5648
_cell_angle_alpha 90.00
_cell_angle_beta 90.00
_cell_angle_gamma 120.00
_space_group_name_H-M_alt 'R -3 m'
_space_group_IT_number 166
_space_group_name_Hall '-R 3 2"'
loop_
_atom_site_label
_atom_site_fract_x
_atom_site_fract_y
_atom_site_fract_z
Pt1 0.0000 0.0000 0.0000
S1 0.0000 0.0000 0.5000
Br1 0.0000 0.0000 0.0698

---

(8)
# CsHf2Co2 (PBE, optimized geometry)
# polymorph energy (0 for the lowest one) = 0.15 eV/f.u.
# DFT formation energy = 0.4953 eV/atom
# total magnetization = 0.00 μB/atom
data_CsHf2Co2
_chemical_formula_sum 'Cs2 Hf4 Co4'
_cell_length_a 3.652
_cell_length_b 3.652
_cell_length_c 21.083
_cell_angle_alpha 90.00
_cell_angle_beta 90.00
_cell_angle_gamma 90.00
_space_group_name_H-M_alt 'I 4/m m m'
_space_group_IT_number 139
_space_group_name_Hall '-I 4 2'
loop_
_atom_site_label
_atom_site_fract_x
_atom_site_fract_y
_atom_site_fract_z
Cs1 0.000 0.000 0.000
Hf1 0.000 0.000 0.329
Co1 0.000 0.500 0.250

---

total magnetization of number 7 (PtSBr2)?
0.00 μB/atom

---

Number 2 is which compound?
Cr2CdW

---

What is the total magnetization in the second record?
0.00 μB/atom